This record from Alexandria describes a relaxed structure of Tl2ReW. The functional is GGA-PBE.

a = 3.139 Å, b = 3.134 Å, c = 8.863 Å
α = 90.00°, β = 99.71°, γ = 90.00°
Fractional positions:
1 Tl 0.000 0.000 0.000
2 Tl 0.193 0.500 0.337
3 Re 0.384 0.500 0.747
4 W 0.815 0.000 0.593

Energy of formation from the pure elements = 0.541 eV/atom
Total moment = 0.0 μB per formula unit